Arrangement A

{
  "formula": "YReTe2N",
  "functional": "PBE",
  "state": "optimized geometry",
  "lattice_angstrom": [[-2.405, 5.056, 1.843], [-3.039, -2.942, 4.105], [3.142, 0.513, 2.693]],
  "species": ["Y", "Re", "Te", "Te", "N"],
  "fractional_positions": [[0.000, 0.000, 0.000], [0.500, 0.500, 0.500], [0.000, 0.500, 0.000], [0.500, 0.000, 0.000], [0.000, 0.000, 0.500]],
  "spacegroup": "No. 123",
  "vol_a3_per_cell": 145,
  "dos_at_fermi_per_ev_cell": 2.35
}

Arrangement B

{
  "formula": "YReTe2N",
  "functional": "PBE",
  "state": "optimized geometry",
  "lattice_angstrom": [[-0.952, -1.496, -5.229], [5.298, -1.454, -0.548], [-0.842, -3.505, 1.156]],
  "species": ["Y", "Re", "Te", "Te", "N"],
  "fractional_positions": [[0.500, 0.500, 0.500], [0.000, 0.000, 0.000], [0.000, 0.500, 0.000], [0.500, 0.000, 0.000], [0.000, 0.000, 0.500]],
  "spacegroup": "No. 123",
  "vol_a3_per_cell": 115,
  "dos_at_fermi_per_ev_cell": 4.18
}

Most stable: arrangement B. Least stable: arrangement A.

Arrangement A

{
  "formula": "ZrReTeN2",
  "functional": "PBE",
  "state": "optimized geometry",
  "lattice_angstrom": [[-1.260, 2.857, -2.438], [-2.783, 1.017, 2.630], [3.521, 3.558, 2.350]],
  "species": ["Re", "Te", "Zr", "N", "N"],
  "fractional_positions": [[0.000, 0.000, 0.000], [0.000, 0.000, 0.500], [0.500, 0.500, 0.500], [0.000, 0.500, 0.000], [0.500, 0.000, 0.000]],
  "spacegroup": "No. 123",
  "vol_a3_per_cell": 87,
  "dos_at_fermi_per_ev_cell": 2.85
}

Arrangement B

{
  "formula": "ZrReTeN2",
  "functional": "PBE",
  "state": "optimized geometry",
  "lattice_angstrom": [[4.136, 0.000, 0.000], [0.000, 4.136, 0.000], [0.000, 0.000, 6.139]],
  "species": ["Re", "Te", "Zr", "N", "N"],
  "fractional_positions": [[0.500, 0.500, 0.500], [0.000, 0.000, 0.500], [0.000, 0.000, 0.000], [0.000, 0.500, 0.000], [0.500, 0.000, 0.000]],
  "spacegroup": "No. 123",
  "vol_a3_per_cell": 105,
  "dos_at_fermi_per_ev_cell": 3.24
}

Most stable: arrangement A. Least stable: arrangement B.